# 1
Crystalline Ca6AlAg5 at its relaxed geometry, computed with PBE-GGA.

formation energy: -291.0 meV/atom

Unit cell a=5.2552 b=7.3865 c=9.1246 alpha=113.88 beta=106.74 gamma=90.00
Closest atoms and distances in Å follow each position.
Fractional positions:
Ca  0.1672  0.4166  0.3344  7 Ag 3.21-3.27, 1 Al 3.23
Ca  0.1672  0.9178  0.3344  7 Ag 3.21-3.27, 1 Al 3.23
Ca  0.5000  0.2500  0.0000  6 Ag 3.17-3.22, 2 Al 3.21
Ca  0.5000  0.7500  0.0000  6 Ag 3.17-3.22, 2 Al 3.21
Ca  0.8328  0.0822  0.6656  7 Ag 3.21-3.27, 1 Al 3.23
Ca  0.8328  0.5834  0.6656  7 Ag 3.21-3.27, 1 Al 3.23
Al  0.0000  0.0000  0.0000  8 Ca 3.21-3.23
Ag  0.3374  0.8374  0.6749  8 Ca 3.17-3.27
Ag  0.6665  0.6665  0.3331  8 Ca 3.21-3.22
Ag  0.0000  0.5000  0.0000  8 Ca 3.21-3.23
Ag  0.3335  0.3335  0.6669  8 Ca 3.21-3.22
Ag  0.6626  0.1626  0.3251  8 Ca 3.17-3.27

# 2
Crystalline Ag2AsRu at its relaxed geometry, computed with PBE-GGA.

formation energy: 361.6 meV/atom

Unit cell a=3.8045 b=3.8045 c=4.5775 alpha=90.00 beta=90.00 gamma=90.00
Closest atoms and distances in Å follow each position.
Fractional positions:
Ru  0.0000  0.5000  0.5000  4 As 2.69, 8 Ag 2.98
As  0.5000  0.0000  0.5000  4 Ru 2.69, 8 Ag 2.98
Ag  0.0000  0.0000  0.0000  4 Ag 2.69, 4 As 2.98, 4 Ru 2.98
Ag  0.5000  0.5000  0.0000  4 Ag 2.69, 4 As 2.98, 4 Ru 2.98

# 3
Crystalline Sr2CdAg3Ge4 at its relaxed geometry, computed with PBE-GGA.

formation energy: -289.8 meV/atom

Unit cell a=4.4937 b=4.4937 c=11.3139 alpha=90.00 beta=90.00 gamma=90.00
Closest atoms and distances in Å follow each position.
Fractional positions:
Sr  0.5000  0.0000  0.2478  8 Ge 3.42-3.59, 6 Ag 3.44-3.63, 2 Cd 3.63
Sr  0.0000  0.5000  0.7522  8 Ge 3.42-3.59, 6 Ag 3.44-3.63, 2 Cd 3.63
Cd  0.5000  0.5000  0.5000  4 Ge 2.75
Ag  0.0000  0.0000  0.5000  4 Ge 2.75
Ag  0.5000  0.0000  0.8686  5 Ge 2.58-2.69
Ag  0.0000  0.5000  0.1314  5 Ge 2.58-2.69
Ge  0.5000  0.5000  0.0000  4 Ag 2.69
Ge  0.0000  0.0000  0.0000  4 Ag 2.69
Ge  0.5000  0.0000  0.6407  3 Ag 2.58-2.75, 2 Cd 2.75
Ge  0.0000  0.5000  0.3593  3 Ag 2.58-2.75, 2 Cd 2.75

# 4
Crystalline YInFeI2 at its relaxed geometry, computed with PBE-GGA.

uncorrected formation energy: 0.877 eV per atom

Unit cell a=5.9365 b=4.9169 c=5.9365 alpha=90.00 beta=90.00 gamma=90.00
Closest atoms and distances in Å follow each position.
Fractional positions:
I  0.0000  0.0000  0.5000  2 In 2.97
I  0.5000  0.0000  0.0000  2 In 2.97
Y  0.5000  0.5000  0.5000  8 I 3.85, 4 Fe 4.20
Fe  0.0000  0.5000  0.0000  2 In 2.46
In  0.0000  0.0000  0.0000  2 Fe 2.46

# 5
Crystalline LaEuPtAu at its relaxed geometry, computed with PBE-GGA.

formation energy: -904.1 meV/atom

Unit cell a=5.2141 b=5.2141 c=5.2141 alpha=60.00 beta=60.00 gamma=60.00
Closest atoms and distances in Å follow each position.
Fractional positions:
Eu  0.0000  0.0000  0.0000  4 Pt 3.19, 4 Au 3.19
Au  0.7500  0.7500  0.7500  4 La 3.19, 4 Eu 3.19
Pt  0.2500  0.2500  0.2500  4 La 3.19, 4 Eu 3.19
La  0.5000  0.5000  0.5000  4 Au 3.19, 4 Pt 3.19

# 6
Crystalline Th2PaTc at its relaxed geometry, computed with PBE-GGA.

formation energy: 415.4 meV/atom
energy relative to the lowest polymorph listed for this composition: 544 meV per atom

Unit cell a=3.3186 b=3.3186 c=10.9701 alpha=81.30 beta=81.30 gamma=60.00
Closest atoms and distances in Å follow each position.
Fractional positions:
Pa  0.0000  0.0000  0.0000  2 Th 3.16, 6 Pa 3.32
Tc  0.5000  0.5000  0.5000  6 Th 2.95
Th  0.0974  0.0974  0.7078  3 Tc 2.95, 1 Pa 3.16
Th  0.9026  0.9026  0.2922  3 Tc 2.95, 1 Pa 3.16

# 7
Crystalline TbHoTm2N4 at its relaxed geometry, computed with PBE-GGA.

uncorrected formation energy: -1.762 eV per atom

Unit cell a=3.4393 b=5.9551 c=5.9557 alpha=109.45 beta=90.00 gamma=90.00
Closest atoms and distances in Å follow each position.
Fractional positions:
Tb  0.5000  0.5000  0.0000  6 N 2.45
Ho  0.0000  0.0000  0.0000  6 N 2.44
Tm  0.5000  0.0000  0.5000  6 N 2.41
Tm  0.0000  0.5000  0.5000  6 N 2.42
N  0.5000  0.2499  0.2538  3 Tm 2.41-2.42, 2 Ho 2.44, 1 Tb 2.45
N  0.5000  0.7501  0.7462  3 Tm 2.41-2.42, 2 Ho 2.44, 1 Tb 2.45
N  0.0000  0.2471  0.7452  3 Tm 2.41-2.42, 1 Ho 2.44, 2 Tb 2.45
N  0.0000  0.7529  0.2548  3 Tm 2.41-2.42, 1 Ho 2.44, 2 Tb 2.45

# 8
Crystalline RbZr2B at its relaxed geometry, computed with PBE-GGA.

formation energy: 915.9 meV/atom

Unit cell a=7.2921 b=7.2921 c=7.2859 alpha=59.97 beta=59.97 gamma=90.00
Closest atoms and distances in Å follow each position.
Fractional positions:
B  0.5000  0.5000  0.0000  4 Zr 2.23
B  0.2500  0.7500  0.5000  4 Zr 2.23
Rb  0.0000  0.0000  0.0000  12 Zr 4.26-4.29, 4 Rb 4.46, 4 B 4.46
Rb  0.7500  0.2500  0.5000  12 Zr 4.26-4.29, 4 Rb 4.46, 4 B 4.46
Zr  0.3724  0.1250  0.2500  2 B 2.23
Zr  0.3776  0.6250  0.2500  2 B 2.23
Zr  0.3750  0.6276  0.7500  2 B 2.23
Zr  0.8750  0.6224  0.7500  2 B 2.23

# 9
Crystalline K5Zr4 at its relaxed geometry, computed with PBE-GGA.

formation energy: 544.7 meV/atom
energy relative to the lowest polymorph listed for this composition: 0 meV per atom

Unit cell a=9.7325 b=9.7325 c=9.7325 alpha=92.51 beta=92.51 gamma=155.83
Closest atoms and distances in Å follow each position.
Fractional positions:
K  0.0000  0.0000  0.0000  10 K 3.87-4.08
K  0.3273  0.6727  0.0000  4 K 3.58-3.87
K  0.6727  0.3273  0.0000  4 K 3.58-3.87
K  0.6727  0.6727  0.3455  4 K 3.58-3.87
K  0.3273  0.3273  0.6545  4 K 3.58-3.87
Zr  0.3876  0.0000  0.3876  5 Zr 2.95-3.02
Zr  0.6124  0.0000  0.6124  5 Zr 2.95-3.02
Zr  0.0000  0.6124  0.6124  5 Zr 2.95-3.02
Zr  0.0000  0.3876  0.3876  5 Zr 2.95-3.02

# 10
Crystalline CaAcPCl at its relaxed geometry, computed with PBE-GGA.

uncorrected formation energy: -1.331 eV per atom
energy relative to the lowest polymorph listed for this composition: 208 meV per atom

Unit cell a=5.1895 b=5.1895 c=5.1895 alpha=60.00 beta=60.00 gamma=60.00
Closest atoms and distances in Å follow each position.
Fractional positions:
P  0.0000  0.0000  0.0000  4 Ac 3.18, 4 Ca 3.18
Ac  0.2500  0.2500  0.2500  4 Cl 3.18, 4 P 3.18
Ca  0.7500  0.7500  0.7500  4 P 3.18, 4 Cl 3.18
Cl  0.5000  0.5000  0.5000  4 Ca 3.18, 4 Ac 3.18

# 11
Crystalline CaMgCd6 at its relaxed geometry, computed with PBE-GGA.

formation energy: -155.2 meV/atom

Unit cell a=4.9414 b=6.4236 c=6.4236 alpha=112.07 beta=90.00 gamma=90.00
Closest atoms and distances in Å follow each position.
Fractional positions:
Ca  0.5000  0.3794  0.6206  10 Cd 3.15-3.32
Mg  0.0000  0.1184  0.8816  10 Cd 3.14-3.32
Cd  0.0000  0.0558  0.3718  7 Cd 3.07-3.27, 2 Mg 3.15-3.32, 2 Ca 3.24
Cd  0.0000  0.6282  0.9442  7 Cd 3.07-3.27, 2 Mg 3.15-3.32, 2 Ca 3.24
Cd  0.0000  0.5710  0.4290  8 Cd 3.04-3.27, 2 Ca 3.20
Cd  0.5000  0.4425  0.1315  7 Cd 3.04-3.36, 2 Ca 3.15-3.32, 2 Mg 3.24
Cd  0.5000  0.8685  0.5575  7 Cd 3.04-3.36, 2 Ca 3.15-3.32, 2 Mg 3.24
Cd  0.5000  0.9359  0.0641  8 Cd 3.08-3.36, 2 Mg 3.14

# 12
Crystalline CrPt2 at its relaxed geometry, computed with PBE-GGA.

formation energy: -143.1 meV/atom

Unit cell a=4.3738 b=4.3738 c=5.4524 alpha=90.00 beta=90.00 gamma=120.00
Closest atoms and distances in Å follow each position.
Fractional positions:
Cr  0.3333  0.6667  0.2500  5 Pt 2.53-2.73
Cr  0.6667  0.3333  0.7500  5 Pt 2.53-2.73
Pt  0.0000  0.0000  0.0000  8 Pt 2.73-2.87, 6 Cr 2.87
Pt  0.0000  0.0000  0.5000  8 Pt 2.73-2.87, 6 Cr 2.87
Pt  0.3333  0.6667  0.7500  5 Cr 2.53-2.73
Pt  0.6667  0.3333  0.2500  5 Cr 2.53-2.73

# 13
Crystalline TaGaCu at its relaxed geometry, computed with PBE-GGA.

formation energy: -125.5 meV/atom

Unit cell a=3.6580 b=3.6580 c=7.2214 alpha=104.67 beta=104.67 gamma=90.00
Closest atoms and distances in Å follow each position.
Fractional positions:
Ta  0.6789  0.6789  0.3577  5 Ga 2.64-2.69
Ta  0.3211  0.3211  0.6423  5 Ga 2.64-2.69
Ga  0.1251  0.1251  0.2501  4 Cu 2.49, 5 Ta 2.64-2.69
Ga  0.8749  0.8749  0.7499  4 Cu 2.49, 5 Ta 2.64-2.69
Cu  0.5000  0.0000  0.0000  4 Ga 2.49, 4 Cu 2.59
Cu  0.0000  0.5000  0.0000  4 Ga 2.49, 4 Cu 2.59

# 14
Crystalline Np2Ge3PdPt4 at its relaxed geometry, computed with PBE-GGA.

formation energy: -520.8 meV/atom

Unit cell a=4.0155 b=4.0155 c=11.6745 alpha=90.00 beta=90.00 gamma=90.00
Closest atoms and distances in Å follow each position.
Fractional positions:
Np  0.5000  0.0000  0.2573  4 Pt 3.00, 4 Ge 3.20
Np  0.0000  0.5000  0.7427  4 Pt 3.00, 4 Ge 3.20
Ge  0.0000  0.0000  0.5000  4 Pt 2.75, 4 Pd 2.84
Ge  0.5000  0.0000  0.8686  5 Pt 2.43-2.53
Ge  0.0000  0.5000  0.1314  5 Pt 2.43-2.53
Pd  0.5000  0.5000  0.5000  4 Pt 2.75, 4 Ge 2.84
Pt  0.5000  0.5000  0.0000  4 Ge 2.53
Pt  0.0000  0.0000  0.0000  4 Ge 2.53
Pt  0.5000  0.0000  0.6605  1 Ge 2.43
Pt  0.0000  0.5000  0.3395  1 Ge 2.43

# 15
Crystalline Li4Y3NpTe8 at its relaxed geometry, computed with PBE-GGA.

uncorrected formation energy: -1.170 eV per atom

Unit cell a=8.7180 b=8.6747 c=8.7173 alpha=120.18 beta=120.00 gamma=90.00
Closest atoms and distances in Å follow each position.
Fractional positions:
Li  0.5000  0.0000  0.0000  6 Te 3.02-3.03
Li  0.5000  0.0000  0.5000  6 Te 3.05-3.06
Li  0.0000  0.0000  0.0000  6 Te 3.05-3.06
Li  0.0000  0.0000  0.5000  6 Te 3.05-3.06
Y  0.5000  0.5000  0.0000  6 Te 3.09-3.10
Y  0.5000  0.5000  0.5000  6 Te 3.09-3.10
Y  0.0000  0.5000  0.5000  6 Te 3.09-3.10
Np  0.0000  0.5000  0.0000  6 Te 3.12
Te  0.2541  0.7570  0.0030  3 Li 3.03-3.06, 2 Y 3.09, 1 Np 3.12
Te  0.2541  0.7569  0.5082  3 Li 3.02-3.06, 2 Y 3.09, 1 Np 3.12
Te  0.2481  0.2443  0.4961  3 Li 3.05, 3 Y 3.10
Te  0.7489  0.7570  0.0030  3 Li 3.03-3.06, 2 Y 3.09, 1 Np 3.12
Te  0.2511  0.2430  0.9970  3 Li 3.03-3.06, 2 Y 3.09, 1 Np 3.12
Te  0.7519  0.7557  0.5039  3 Li 3.05, 3 Y 3.10
Te  0.7459  0.2431  0.4918  3 Li 3.02-3.06, 2 Y 3.09, 1 Np 3.12
Te  0.7459  0.2430  0.9970  3 Li 3.03-3.06, 2 Y 3.09, 1 Np 3.12

# 16
Crystalline Ir2RuPt at its relaxed geometry, computed with PBE-GGA.

formation energy: 615.2 meV/atom
energy relative to the lowest polymorph listed for this composition: 633 meV per atom

Unit cell a=6.9312 b=6.9312 c=5.6070 alpha=51.82 beta=51.82 gamma=90.00
Closest atoms and distances in Å follow each position.
Fractional positions:
Ru  0.5000  0.5000  0.0000  4 Ir 2.44, 2 Pt 2.72
Ru  0.2500  0.7500  0.5000  4 Ir 2.44, 2 Pt 2.72
Ir  0.6034  0.1250  0.2500  2 Ru 2.44, 2 Pt 2.65
Ir  0.1466  0.6250  0.2500  2 Ru 2.44, 2 Pt 2.65
Ir  0.3750  0.3966  0.7500  2 Ru 2.44, 2 Pt 2.65
Ir  0.8750  0.8534  0.7500  2 Ru 2.44, 2 Pt 2.65
Pt  0.0000  0.0000  0.0000  4 Ir 2.65, 2 Ru 2.72
Pt  0.7500  0.2500  0.5000  4 Ir 2.65, 2 Ru 2.72

# 17
Crystalline CsNaBiPb at its relaxed geometry, computed with PBE-GGA.

formation energy: -120.4 meV/atom

Unit cell a=5.9428 b=5.9428 c=5.9428 alpha=60.00 beta=60.00 gamma=60.00
Closest atoms and distances in Å follow each position.
Fractional positions:
Pb  0.7500  0.7500  0.7500  4 Bi 3.64, 4 Cs 3.64
Cs  0.5000  0.5000  0.5000  4 Na 3.64, 4 Pb 3.64
Bi  0.0000  0.0000  0.0000  4 Pb 3.64, 4 Na 3.64
Na  0.2500  0.2500  0.2500  4 Bi 3.64, 4 Cs 3.64

# 18
Crystalline CaPaCu2O8 at its relaxed geometry, computed with PBE-GGA.

uncorrected formation energy: -1.536 eV per atom

Unit cell a=5.2864 b=5.2864 c=6.5775 alpha=113.69 beta=113.69 gamma=90.00
Closest atoms and distances in Å follow each position.
Fractional positions:
Ca  0.7500  0.2500  0.5000  4 O 2.35
Pa  0.0000  0.0000  0.0000  4 O 2.10
Cu  0.5000  0.5000  0.0000  4 O 1.84
Cu  0.2500  0.7500  0.5000  4 O 2.08
O  0.6931  0.8320  0.0609  1 Cu 1.84
O  0.3678  0.2290  0.0609  1 Cu 1.84
O  0.6633  0.7064  0.5668  1 O 1.51
O  0.9036  0.8605  0.5668  1 O 1.51
O  0.1395  0.3367  0.4332  1 O 1.51
O  0.2936  0.0964  0.4332  1 O 1.51
O  0.1680  0.6322  0.9391  1 Cu 1.84
O  0.7710  0.3069  0.9391  1 Cu 1.84

# 19
Crystalline Tl2Pb3 at its relaxed geometry, computed with PBE-GGA.

formation energy: 6.0 meV/atom
energy relative to the lowest polymorph listed for this composition: 9 meV per atom

Unit cell a=14.9525 b=14.9525 c=14.9525 alpha=13.44 beta=13.44 gamma=13.44
Closest atoms and distances in Å follow each position.
Fractional positions:
Pb  0.0000  0.0000  0.0000  6 Pb 3.50, 6 Tl 3.58
Pb  0.2007  0.2007  0.2007  9 Pb 3.50-3.64, 3 Tl 3.57
Pb  0.7993  0.7993  0.7993  9 Pb 3.50-3.64, 3 Tl 3.57
Tl  0.6002  0.6002  0.6002  6 Tl 3.50, 6 Pb 3.57-3.58
Tl  0.3998  0.3998  0.3998  6 Tl 3.50, 6 Pb 3.57-3.58

# 20
Crystalline Mg2TeMo at its relaxed geometry, computed with PBE-GGA.

uncorrected formation energy: 0.155 eV per atom

Unit cell a=9.6051 b=9.6051 c=9.6051 alpha=19.87 beta=19.87 gamma=19.87
Closest atoms and distances in Å follow each position.
Fractional positions:
Mg  0.0008  0.0008  0.0008  9 Mg 3.28-3.32, 3 Te 3.31
Mg  0.2399  0.2399  0.2399  3 Mo 2.90
Mo  0.4961  0.4961  0.4961  3 Te 2.67, 3 Mg 2.90
Te  0.7633  0.7633  0.7633  3 Mo 2.67

| no. | density of states at the Fermi level (states/eV per atom) |
| --- | --- |
| 1 | 0.56 |
| 2 | 0.67 |
| 3 | 0.40 |
| 4 | 1.62 |
| 5 | 2.24 |
| 6 | 1.94 |
| 7 | 0.03 |
| 8 | 0.95 |
| 9 | 1.31 |
| 10 | 0.52 |
| 11 | 0.43 |
| 12 | 1.18 |
| 13 | 0.33 |
| 14 | 1.82 |
| 15 | 0.56 |
| 16 | 1.37 |
| 17 | 0.64 |
| 18 | 0.60 |
| 19 | 0.44 |
| 20 | 0.45 |